DFT (GGA-PBE) results for LaCu8Ni2 after structural relaxation.

Structure (POSCAR):
```
LaCu8Ni2
1.0
4.2365 1.0996 -1.9943
0.5372 4.3437 -1.9943
0.2332 0.2660 9.2586
Cu Ni La
8 2 1
Cartesian
4.2559 4.8528 -1.3024
0.8113 2.7700 4.7795
4.1954 2.9395 0.4903
1.7628 2.0099 0.7783
2.6402 1.1662 4.7797
0.7512 0.8565 6.5724
2.3666 4.5434 0.4906
3.2443 3.6993 4.4918
3.4293 2.0428 2.6350
1.5784 3.6660 2.6350
2.3862 2.7222 -1.9943
```

Its total DFT energy (no corrections) is -4.392 eV per atom.